! Zr2MoHOs | Alexandria | GGA-PBE | relaxed; values from VASP
&SYSTEM
  ibrav = 0, nat = 5, ntyp = 4
/
ATOMIC_SPECIES
Zr 91.22 Zr.upf
Mo 95.94 Mo.upf
H 1.01 H.upf
Os 190.23 Os.upf
ATOMIC_POSITIONS crystal
Zr 0.0000 0.5000 0.0000
Zr 0.5000 0.0000 0.0000
Mo 0.0000 0.0000 0.5000
H 0.0000 0.0000 0.0000
Os 0.5000 0.5000 0.5000
CELL_PARAMETERS angstrom
4.6604 0.0000 0.0000
0.0000 4.6604 0.0000
0.0000 0.0000 3.4792
! DOS at the Fermi energy: 3.6 states/eV/cell
! Calculated total energy: -0.644 Ry per atom
! Magnetic moment: 0.00 μB per formula unit